MgIn: optimized geometry, PBE.

Formation energy, eV per atom: -0.06
Raw total energy, eV per atom: -2.232
V, Å³/cell: 288.26

Cell lengths 11.4645, 3.4695, 7.6980 Å; angles 90.00, 109.71, 90.00 degrees
With the nearest neighbours (Å) after each atom.
Space group Cm (No. 8)
Asymmetric unit:
Mg1 0.0000 0.0000 0.0000 [2 per cell]  7 In 3.12-3.19, 5 Mg 3.25-3.47
Mg2 0.0585 0.0000 0.6001 [2 per cell]  7 In 3.09-3.22, 3 Mg 3.36
Mg3 0.1870 0.5000 0.3370 [2 per cell]  6 In 3.09-3.23, 4 Mg 3.25-3.36
In1 0.2113 0.5000 0.9406 [2 per cell]  6 Mg 3.14-3.19, 6 In 3.26-3.47
In2 0.3411 0.0000 0.6666 [2 per cell]  7 Mg 3.09-3.22, 3 In 3.37-3.43
In3 0.4057 0.0000 0.2702 [2 per cell]  7 Mg 3.09-3.23, 3 In 3.26-3.37